## V9O22 (PBE with a Hubbard U)

Data for an optimized crystal structure of V9O22.

Lattice parameters (Å, degrees): 3.661 10.328 21.739 102.18 90.00 90.00
Atoms (fractional coordinates):
O 0.750 0.502 0.047
O 0.750 0.332 0.920
V 0.750 0.537 0.367
O 0.250 0.466 0.752
V 0.250 0.120 0.026
O 0.750 0.712 0.173
O 0.750 0.564 0.869
O 0.750 0.919 0.302
V 0.250 0.951 0.284
O 0.250 0.495 0.344
O 0.750 0.708 0.989
O 0.250 0.439 0.558
O 0.750 0.250 0.734
O 0.250 0.147 0.101
O 0.750 0.882 0.094
O 0.250 0.288 0.827
V 0.250 0.307 0.746
V 0.250 0.465 0.061
V 0.750 0.723 0.092
O 0.250 0.292 0.647
O 0.750 0.023 0.786
V 0.250 0.463 0.633
O 0.250 0.921 0.996
O 0.750 0.337 0.336
V 0.750 0.693 0.254
V 0.750 0.880 0.974
O 0.250 0.118 0.906
O 0.250 0.977 0.214
O 0.750 0.874 0.667
V 0.250 0.147 0.430
V 0.750 0.535 0.939
V 0.750 0.853 0.570
O 0.750 0.733 0.760
V 0.750 0.890 0.406
O 0.250 0.750 0.266
O 0.250 0.306 0.435
O 0.750 0.085 0.609
O 0.750 0.534 0.248
O 0.250 0.126 0.333
V 0.250 0.299 0.315
O 0.750 0.505 0.656
V 0.750 0.701 0.685
O 0.250 0.436 0.131
O 0.750 0.853 0.899
O 0.750 0.079 0.004
O 0.250 0.915 0.391
V 0.750 0.049 0.716
O 0.250 0.141 0.521
O 0.250 0.292 0.011
O 0.750 0.561 0.442
O 0.750 0.089 0.426
O 0.250 0.081 0.698
O 0.250 0.498 0.953
V 0.250 0.277 0.908
O 0.750 0.708 0.353
V 0.250 0.110 0.594
O 0.250 0.663 0.664
O 0.750 0.694 0.565
O 0.250 0.267 0.240
O 0.250 0.668 0.080
O 0.250 0.911 0.574
O 0.750 0.859 0.479

Fermi-level density of states	0.0138	states/eV/atom
E	-462.385	eV per cell
mass density	3.4	Mg/m³